*one*
# PBE-GGA PuPbBr6, optimized geometry
# Calculated density (g cm⁻³): 5.2
data_PuPbBr6
_cell_length_a 7.179
_cell_length_b 7.180
_cell_length_c 7.799
_cell_angle_alpha 62.60
_cell_angle_beta 62.61
_cell_angle_gamma 60.02
_symmetry_space_group_name_H-M 'P 1'
_symmetry_Int_Tables_number 1
_symmetry_space_group_name_Hall 'P 1'
loop_
_atom_site_label
_atom_site_fract_x
_atom_site_fract_y
_atom_site_fract_z
Br1 0.596 0.229 0.241
Br2 0.229 0.934 0.241
Br3 0.934 0.596 0.241
Pu1 0.000 0.000 0.000
Pb1 0.500 0.500 0.500
Br4 0.066 0.404 0.759
Br5 0.404 0.771 0.759
Br6 0.771 0.066 0.759

---

*two*
# PBE-GGA PuPbBr6, optimized geometry
# Calculated density (g cm⁻³): 4.8
data_PuPbBr6
_cell_length_a 7.333
_cell_length_b 7.333
_cell_length_c 7.226
_cell_angle_alpha 98.05
_cell_angle_beta 98.05
_cell_angle_gamma 120.64
_symmetry_space_group_name_H-M 'P 1'
_symmetry_Int_Tables_number 1
_symmetry_space_group_name_Hall 'P 1'
loop_
_atom_site_label
_atom_site_fract_x
_atom_site_fract_y
_atom_site_fract_z
Br1 0.744 0.744 0.269
Br2 0.878 0.574 0.734
Br3 0.574 0.878 0.734
Pb1 0.000 0.000 0.000
Br4 0.256 0.256 0.731
Br5 0.122 0.426 0.266
Pu1 0.500 0.500 0.500
Br6 0.426 0.122 0.266

---

*two* wins, 0.6 kJ/mol of atoms ahead of the next structure.

---

*one*
# PBE-GGA Rb2PbBr, optimized geometry
# Calculated density (g cm⁻³): 4.0
data_Rb2PbBr
_cell_length_a 9.797
_cell_length_b 9.797
_cell_length_c 7.968
_cell_angle_alpha 52.07
_cell_angle_beta 52.07
_cell_angle_gamma 90.00
_symmetry_space_group_name_H-M 'P 1'
_symmetry_Int_Tables_number 1
_symmetry_space_group_name_Hall 'P 1'
loop_
_atom_site_label
_atom_site_fract_x
_atom_site_fract_y
_atom_site_fract_z
Br1 0.500 0.500 0.000
Rb1 0.578 0.125 0.250
Pb1 0.750 0.250 0.500
Br2 0.250 0.750 0.500
Rb2 0.172 0.625 0.250
Pb2 0.000 0.000 0.000
Rb3 0.375 0.422 0.750
Rb4 0.875 0.828 0.750

---

*two*
# PBE-GGA Rb2PbBr, optimized geometry
# Calculated density (g cm⁻³): 4.2
data_Rb2PbBr
_cell_length_a 6.364
_cell_length_b 6.364
_cell_length_c 6.364
_cell_angle_alpha 60.00
_cell_angle_beta 60.00
_cell_angle_gamma 60.00
_symmetry_space_group_name_H-M 'P 1'
_symmetry_Int_Tables_number 1
_symmetry_space_group_name_Hall 'P 1'
loop_
_atom_site_label
_atom_site_fract_x
_atom_site_fract_y
_atom_site_fract_z
Pb1 0.500 0.500 0.500
Rb1 0.750 0.750 0.750
Br1 0.000 0.000 0.000
Rb2 0.250 0.250 0.250

---

*one* wins, 0.7 kJ/mol of atoms ahead of the next structure.

---

*one*
# PBE-GGA RbPb2Br, optimized geometry
# Calculated density (g cm⁻³): 5.7
data_RbPb2Br
_cell_length_a 4.583
_cell_length_b 4.583
_cell_length_c 16.372
_cell_angle_alpha 81.96
_cell_angle_beta 81.96
_cell_angle_gamma 90.00
_symmetry_space_group_name_H-M 'P 1'
_symmetry_Int_Tables_number 1
_symmetry_space_group_name_Hall 'P 1'
loop_
_atom_site_label
_atom_site_fract_x
_atom_site_fract_y
_atom_site_fract_z
Pb1 0.126 0.625 0.250
Rb1 0.750 0.250 0.500
Br1 0.250 0.750 0.500
Pb2 0.875 0.874 0.750
Pb3 0.624 0.125 0.250
Br2 0.500 0.500 0.000
Pb4 0.375 0.376 0.750
Rb2 0.000 0.000 0.000

---

*two*
# PBE-GGA RbPb2Br, optimized geometry
# Calculated density (g cm⁻³): 6.7
data_RbPb2Br
_cell_length_a 5.881
_cell_length_b 5.881
_cell_length_c 5.881
_cell_angle_alpha 60.00
_cell_angle_beta 60.00
_cell_angle_gamma 60.00
_symmetry_space_group_name_H-M 'P 1'
_symmetry_Int_Tables_number 1
_symmetry_space_group_name_Hall 'P 1'
loop_
_atom_site_label
_atom_site_fract_x
_atom_site_fract_y
_atom_site_fract_z
Rb1 0.500 0.500 0.500
Pb1 0.750 0.750 0.750
Br1 0.000 0.000 0.000
Pb2 0.250 0.250 0.250

---

*one* wins, 55.9 kJ/mol of atoms ahead of the next structure.

---

*one*
# PBE-GGA RbPbBr2, optimized geometry
# Calculated density (g cm⁻³): 3.8
data_RbPbBr2
_cell_length_a 6.604
_cell_length_b 6.604
_cell_length_c 10.189
_cell_angle_alpha 71.09
_cell_angle_beta 71.09
_cell_angle_gamma 90.00
_symmetry_space_group_name_H-M 'P 1'
_symmetry_Int_Tables_number 1
_symmetry_space_group_name_Hall 'P 1'
loop_
_atom_site_label
_atom_site_fract_x
_atom_site_fract_y
_atom_site_fract_z
Pb1 0.000 0.000 0.000
Br1 0.875 0.922 0.750
Rb1 0.500 0.500 0.000
Br2 0.375 0.328 0.750
Rb2 0.250 0.750 0.500
Pb2 0.750 0.250 0.500
Br3 0.078 0.625 0.250
Br4 0.672 0.125 0.250

---

*two*
# PBE-GGA RbPbBr2, optimized geometry
# Calculated density (g cm⁻³): 5.6
data_RbPbBr2
_cell_length_a 5.752
_cell_length_b 5.752
_cell_length_c 5.752
_cell_angle_alpha 60.00
_cell_angle_beta 60.00
_cell_angle_gamma 60.00
_symmetry_space_group_name_H-M 'P 1'
_symmetry_Int_Tables_number 1
_symmetry_space_group_name_Hall 'P 1'
loop_
_atom_site_label
_atom_site_fract_x
_atom_site_fract_y
_atom_site_fract_z
Pb1 0.500 0.500 0.500
Rb1 0.000 0.000 0.000
Br1 0.250 0.250 0.250
Br2 0.750 0.750 0.750

---

*three*
# PBE-GGA RbPbBr2, optimized geometry
# Calculated density (g cm⁻³): 4.4
data_RbPbBr2
_cell_length_a 10.580
_cell_length_b 10.580
_cell_length_c 10.580
_cell_angle_alpha 23.85
_cell_angle_beta 23.85
_cell_angle_gamma 23.85
_symmetry_space_group_name_H-M 'P 1'
_symmetry_Int_Tables_number 1
_symmetry_space_group_name_Hall 'P 1'
loop_
_atom_site_label
_atom_site_fract_x
_atom_site_fract_y
_atom_site_fract_z
Br1 0.095 0.095 0.095
Rb1 0.500 0.500 0.500
Pb1 0.000 0.000 0.000
Br2 0.905 0.905 0.905

---

*three* wins, 6.8 kJ/mol of atoms ahead of the next structure.

---

*one*
# PBE-GGA Rb2PbBr4, optimized geometry
# Calculated density (g cm⁻³): 4.2
data_Rb2PbBr4
_cell_length_a 4.540
_cell_length_b 9.435
_cell_length_c 9.073
_cell_angle_alpha 130.56
_cell_angle_beta 104.49
_cell_angle_gamma 90.00
_symmetry_space_group_name_H-M 'P 1'
_symmetry_Int_Tables_number 1
_symmetry_space_group_name_Hall 'P 1'
loop_
_atom_site_label
_atom_site_fract_x
_atom_site_fract_y
_atom_site_fract_z
Rb1 0.352 0.383 0.703
Br1 0.658 0.248 0.316
Br2 0.342 0.752 0.684
Br3 0.947 0.245 0.894
Br4 0.053 0.755 0.106
Rb2 0.648 0.617 0.297
Pb1 0.000 0.000 0.000

---

*two*
# PBE-GGA Rb2PbBr4, optimized geometry
# Calculated density (g cm⁻³): 3.7
data_Rb2PbBr4
_cell_length_a 5.948
_cell_length_b 5.948
_cell_length_c 9.758
_cell_angle_alpha 72.25
_cell_angle_beta 72.25
_cell_angle_gamma 90.00
_symmetry_space_group_name_H-M 'P 1'
_symmetry_Int_Tables_number 1
_symmetry_space_group_name_Hall 'P 1'
loop_
_atom_site_label
_atom_site_fract_x
_atom_site_fract_y
_atom_site_fract_z
Pb1 0.000 0.000 0.000
Br1 0.829 0.829 0.341
Rb1 0.361 0.361 0.277
Br2 0.500 0.000 0.000
Rb2 0.639 0.639 0.723
Br3 0.171 0.171 0.659
Br4 0.000 0.500 0.000

---

*one* wins, 2.3 kJ/mol of atoms ahead of the next structure.

---

*one*
# PBE-GGA RbPb3Br, optimized geometry
# Calculated density (g cm⁻³): 6.2
data_RbPb3Br
_cell_length_a 5.954
_cell_length_b 5.954
_cell_length_c 5.954
_cell_angle_alpha 90.00
_cell_angle_beta 90.00
_cell_angle_gamma 90.00
_symmetry_space_group_name_H-M 'P 1'
_symmetry_Int_Tables_number 1
_symmetry_space_group_name_Hall 'P 1'
loop_
_atom_site_label
_atom_site_fract_x
_atom_site_fract_y
_atom_site_fract_z
Pb1 0.000 0.500 0.000
Rb1 0.500 0.500 0.500
Br1 0.000 0.000 0.000
Pb2 0.500 0.000 0.000
Pb3 0.000 0.000 0.500

---

*two*
# PBE-GGA RbPb3Br, optimized geometry
# Calculated density (g cm⁻³): 4.9
data_RbPb3Br
_cell_length_a 6.418
_cell_length_b 6.418
_cell_length_c 6.418
_cell_angle_alpha 90.00
_cell_angle_beta 90.00
_cell_angle_gamma 90.00
_symmetry_space_group_name_H-M 'P 1'
_symmetry_Int_Tables_number 1
_symmetry_space_group_name_Hall 'P 1'
loop_
_atom_site_label
_atom_site_fract_x
_atom_site_fract_y
_atom_site_fract_z
Pb1 0.000 0.500 0.000
Pb2 0.500 0.000 0.000
Pb3 0.000 0.000 0.500
Br1 0.500 0.500 0.500
Rb1 0.000 0.000 0.000

---

*one* wins, 77.1 kJ/mol of atoms ahead of the next structure.